A relaxed structure of Ca3ScPd4, computed with PBE.

The formation energy comes out at -0.7380 eV per atom. For the size of the total moment, the calculation gives 0.00 μB per formula unit. The value obtained for the electronic total energy is -4.876 eV per atom.

a b c (Å): 3.4433 3.4433 14.1565
angles (deg): 90.00 90.00 90.00
Last column: nearest neighbours and their distance in Å.
Space group P4/mmm (No. 123)
Asymmetric unit:
Ca (0.0000, 0.0000, 0.0000) x1  8 Pd 3.04
Ca (0.0000, 0.0000, 0.2542) x2  8 Pd 3.02-3.14
Sc (0.0000, 0.0000, 0.5000) x1  8 Pd 2.86
Pd (0.5000, 0.5000, 0.1281) x2  8 Ca 3.02-3.04
Pd (0.5000, 0.5000, 0.3946) x2  4 Sc 2.86, 1 Pd 2.98, 4 Ca 3.14